Here is a geometry-optimized Ge3AuSe structure from Alexandria via LeMat-Bulk. Energies are from PBE.

Energy above the lowest structure with this stoichiometry ... 0.00 eV per formula unit
Space group ... Pm-3m
Calculated density ... 6.4 g cm⁻³

Lattice parameters (Å, degrees): 5.046 5.046 5.046 90.00 90.00 90.00
Fractional positions:
Au 0.000 0.000 0.000
Ge 0.000 0.500 0.000
Ge 0.000 0.000 0.500
Se 0.500 0.500 0.500
Ge 0.500 0.000 0.000